## CsKTl2Au (GGA-PBE)

Data for a geometry-optimized CsKTl2Au structure.

Summary:
Space group: P4/mmm
Total magnetization in μB/cell: 0.0
DFT formation energy in meV/atom: -50
Volume in Å³/atom: 41.7
Energy above the lowest structure with this stoichiometry in meV per atom: 61

Lattice parameters (Å, degrees): 5.740 5.740 6.333 90.00 90.00 90.00
Positions (direct):
Cs 0.000 0.000 0.000
K 0.500 0.500 0.000
Tl 0.000 0.500 0.500
Tl 0.500 0.000 0.500
Au 0.500 0.500 0.500

***

## SrAc2Nd (GGA-PBE)

Data for a geometry-optimized SrAc2Nd structure.

Summary:
Space group: R3m
Total magnetization in μB/cell: 0.0
DFT formation energy in meV/atom: 52
Volume in Å³/atom: 44.1
Energy above the lowest structure with this stoichiometry in meV per atom: 5

Lattice parameters (Å, degrees): 3.962 3.962 38.928 90.00 90.00 120.00
Positions (direct):
Sr 0.000 0.000 0.000
Sr 0.333 0.667 0.667
Sr 0.667 0.333 0.333
Ac 0.000 0.000 0.423
Ac 0.000 0.000 0.578
Ac 0.333 0.667 0.090
Ac 0.333 0.667 0.245
Ac 0.667 0.333 0.756
Ac 0.667 0.333 0.912
Nd 0.000 0.000 0.167
Nd 0.333 0.667 0.834
Nd 0.667 0.333 0.501

***

## Cu2Ni4Ge3 (GGA-PBE)

Data for a geometry-optimized Cu2Ni4Ge3 structure.

Summary:
Space group: C2/c
Total magnetization in μB/cell: 0.0
DFT formation energy in meV/atom: -129
Volume in Å³/atom: 12.6

Lattice parameters (Å, degrees): 7.004 7.004 4.800 94.13 94.13 75.25
Positions (direct):
Cu 0.080 0.354 0.361
Cu 0.354 0.080 0.861
Cu 0.646 0.920 0.139
Cu 0.920 0.646 0.639
Ni 0.018 0.741 0.161
Ni 0.259 0.982 0.339
Ni 0.305 0.594 0.489
Ni 0.406 0.695 0.011
Ni 0.594 0.305 0.989
Ni 0.695 0.406 0.511
Ni 0.741 0.018 0.661
Ni 0.982 0.259 0.839
Ge 0.106 0.894 0.750
Ge 0.233 0.448 0.924
Ge 0.448 0.233 0.424
Ge 0.552 0.767 0.576
Ge 0.767 0.552 0.076
Ge 0.894 0.106 0.250

***

## Tb2Ga2BiRh5 (GGA-PBE)

Data for a geometry-optimized Tb2Ga2BiRh5 structure.

Summary:
Space group: P4/mbm
Total magnetization in μB/cell: 0.0
DFT formation energy in meV/atom: -749
Volume in Å³/atom: 17.9

Lattice parameters (Å, degrees): 9.887 9.887 3.666 90.00 90.00 90.00
Positions (direct):
Tb 0.175 0.325 0.000
Tb 0.325 0.825 0.000
Tb 0.675 0.175 0.000
Tb 0.825 0.675 0.000
Ga 0.121 0.621 0.000
Ga 0.379 0.121 0.000
Ga 0.621 0.879 0.000
Ga 0.879 0.379 0.000
Bi 0.000 0.000 0.000
Bi 0.500 0.500 0.000
Rh 0.000 0.500 0.500
Rh 0.070 0.787 0.500
Rh 0.213 0.070 0.500
Rh 0.287 0.570 0.500
Rh 0.430 0.287 0.500
Rh 0.500 0.000 0.500
Rh 0.570 0.713 0.500
Rh 0.713 0.430 0.500
Rh 0.787 0.930 0.500
Rh 0.930 0.213 0.500

***

## LaCu2Ru (GGA-PBE)

Data for a geometry-optimized LaCu2Ru structure.

Summary:
Space group: Pmmm
Total magnetization in μB/cell: 0.0
DFT formation energy in meV/atom: 140
Volume in Å³/atom: 17.7
Energy above the lowest structure with this stoichiometry in meV per atom: 198

Lattice parameters (Å, degrees): 3.516 3.532 5.697 90.00 90.00 90.00
Positions (direct):
La 0.000 0.000 0.000
Cu 0.500 0.500 0.296
Cu 0.500 0.500 0.704
Ru 0.000 0.000 0.500

***

## TbTaN3 (GGA-PBE)

Data for a geometry-optimized TbTaN3 structure.

Summary:
Space group: P2_1/m
Total magnetization in μB/cell: 0.0
Volume in Å³/atom: 12.9
Raw formation energy in eV per atom: -0.957

Lattice parameters (Å, degrees): 6.405 3.171 6.430 90.00 97.80 90.00
Positions (direct):
Tb 0.232 0.250 0.347
Tb 0.768 0.750 0.653
Ta 0.318 0.250 0.839
Ta 0.682 0.750 0.161
N 0.035 0.250 0.697
N 0.321 0.750 0.067
N 0.374 0.750 0.634
N 0.626 0.250 0.366
N 0.679 0.250 0.933
N 0.965 0.750 0.303

***

## Cs2Tl3In17 (GGA-PBE)

Data for a geometry-optimized Cs2Tl3In17 structure.

Summary:
Space group: C2/m
Total magnetization in μB/cell: 0.0
DFT formation energy in meV/atom: 66
Volume in Å³/atom: 33.7

Lattice parameters (Å, degrees): 9.414 9.414 8.493 97.17 97.17 87.90
Positions (direct):
Cs 0.147 0.147 0.397
Cs 0.853 0.853 0.603
Tl 0.000 0.000 0.000
Tl 0.000 0.500 0.500
Tl 0.500 0.000 0.500
In 0.000 0.500 0.000
In 0.198 0.663 0.326
In 0.200 0.200 0.884
In 0.231 0.769 0.000
In 0.258 0.495 0.761
In 0.337 0.802 0.674
In 0.401 0.401 0.131
In 0.495 0.258 0.761
In 0.500 0.000 0.000
In 0.500 0.500 0.500
In 0.505 0.742 0.239
In 0.599 0.599 0.869
In 0.663 0.198 0.326
In 0.742 0.505 0.239
In 0.769 0.231 0.000
In 0.800 0.800 0.116
In 0.802 0.337 0.674

***

## YTe2Pb (GGA-PBE)

Data for a geometry-optimized YTe2Pb structure.

Summary:
Space group: C2/m
Total magnetization in μB/cell: 0.0
Volume in Å³/atom: 34.4
Raw formation energy in eV per atom: -0.802

Lattice parameters (Å, degrees): 7.552 4.145 8.910 90.00 99.10 90.00
Positions (direct):
Y 0.000 0.000 0.000
Y 0.500 0.500 0.000
Te 0.214 0.500 0.210
Te 0.286 0.000 0.790
Te 0.714 0.000 0.210
Te 0.786 0.500 0.790
Pb 0.000 0.500 0.500
Pb 0.500 0.000 0.500

***

## CuNiRh2 (GGA-PBE)

Data for a geometry-optimized CuNiRh2 structure.

Summary:
Space group: Cm
Total magnetization in μB/cell: 0.9
DFT formation energy in meV/atom: 64
Volume in Å³/atom: 13.0

Lattice parameters (Å, degrees): 8.775 2.692 4.483 90.00 101.28 90.00
Positions (direct):
Cu 0.000 0.000 0.000
Cu 0.500 0.500 0.000
Ni 0.252 0.000 0.768
Ni 0.752 0.500 0.768
Rh 0.004 0.500 0.507
Rh 0.254 0.500 0.267
Rh 0.504 0.000 0.507
Rh 0.754 0.000 0.267

***

## Mg2CdAg (GGA-PBE)

Data for a geometry-optimized Mg2CdAg structure.

Summary:
Space group: C2/m
Total magnetization in μB/cell: 0.0
DFT formation energy in meV/atom: -81
Volume in Å³/atom: 20.6
Energy above the lowest structure with this stoichiometry in meV per atom: 94

Lattice parameters (Å, degrees): 9.695 3.201 5.417 90.00 101.45 90.00
Positions (direct):
Mg 0.245 0.000 0.242
Mg 0.255 0.500 0.758
Mg 0.745 0.500 0.242
Mg 0.755 0.000 0.758
Cd 0.000 0.000 0.500
Cd 0.500 0.500 0.500
Ag 0.000 0.500 0.000
Ag 0.500 0.000 0.000

***

## YAl4Ir (GGA-PBE)

Data for a geometry-optimized YAl4Ir structure.

Summary:
Space group: I4/mcm
Total magnetization in μB/cell: 0.0
DFT formation energy in meV/atom: -420
Volume in Å³/atom: 20.2

Lattice parameters (Å, degrees): 7.376 7.376 7.376 127.97 127.97 76.67
Positions (direct):
Y 0.000 0.000 0.000
Y 0.500 0.500 0.000
Al 0.016 0.516 0.202
Al 0.185 0.984 0.500
Al 0.315 0.815 0.798
Al 0.484 0.685 0.500
Al 0.516 0.315 0.500
Al 0.685 0.185 0.202
Al 0.815 0.016 0.500
Al 0.984 0.484 0.798
Ir 0.250 0.250 0.000
Ir 0.750 0.750 0.000

***

## TlRh2 (GGA-PBE)

Data for a geometry-optimized TlRh2 structure.

Summary:
Space group: P-6m2
Total magnetization in μB/cell: 0.7
DFT formation energy in meV/atom: 337
Volume in Å³/atom: 17.5
Energy above the lowest structure with this stoichiometry in meV per atom: 161

Lattice parameters (Å, degrees): 3.068 3.068 12.888 90.00 90.00 120.00
Positions (direct):
Tl 0.000 0.000 0.172
Tl 0.000 0.000 0.828
Rh 0.000 0.000 0.500
Rh 0.333 0.667 0.000
Rh 0.333 0.667 0.346
Rh 0.333 0.667 0.654

***

## PrSm2HfP4 (GGA-PBE)

Data for a geometry-optimized PrSm2HfP4 structure.

Summary:
Space group: P2/m
Total magnetization in μB/cell: 0.0
DFT formation energy in meV/atom: -1452
Volume in Å³/atom: 23.0

Lattice parameters (Å, degrees): 6.955 4.014 6.971 90.00 109.18 90.00
Positions (direct):
Pr 0.000 0.000 0.000
Sm 0.500 0.000 0.500
Sm 0.500 0.500 0.000
Hf 0.000 0.500 0.500
P 0.233 0.000 0.729
P 0.243 0.500 0.265
P 0.757 0.500 0.735
P 0.767 0.000 0.271

***

## UNi5As6 (GGA-PBE)

Data for a geometry-optimized UNi5As6 structure.

Summary:
Space group: C2/m
Total magnetization in μB/cell: 2.1
DFT formation energy in meV/atom: -218
Volume in Å³/atom: 15.8

Lattice parameters (Å, degrees): 5.989 5.989 6.274 99.88 99.88 116.64
Positions (direct):
U 0.000 0.000 0.000
Ni 0.129 0.871 0.500
Ni 0.320 0.680 0.000
Ni 0.500 0.500 0.500
Ni 0.680 0.320 0.000
Ni 0.871 0.129 0.500
As 0.095 0.483 0.279
As 0.301 0.301 0.753
As 0.483 0.095 0.279
As 0.517 0.905 0.721
As 0.699 0.699 0.247
As 0.905 0.517 0.721

***

## Be8Tc (GGA-PBE)

Data for a geometry-optimized Be8Tc structure.

Summary:
Space group: I4/mmm
Total magnetization in μB/cell: 0.0
DFT formation energy in meV/atom: -59
Volume in Å³/atom: 8.8

Lattice parameters (Å, degrees): 5.163 5.163 5.163 95.85 95.85 142.77
Positions (direct):
Be 0.000 0.346 0.346
Be 0.000 0.654 0.654
Be 0.322 0.322 0.643
Be 0.322 0.678 0.000
Be 0.346 0.000 0.346
Be 0.654 0.000 0.654
Be 0.678 0.322 0.000
Be 0.678 0.678 0.357
Tc 0.000 0.000 0.000

***

## ZnNiAs2W (GGA-PBE)

Data for a geometry-optimized ZnNiAs2W structure.

Summary:
Space group: P4/mmm
Total magnetization in μB/cell: 2.5
DFT formation energy in meV/atom: 968
Volume in Å³/atom: 18.1

Lattice parameters (Å, degrees): 4.542 4.542 4.392 90.00 90.00 90.00
Positions (direct):
Zn 0.000 0.000 0.000
Ni 0.000 0.000 0.500
As 0.000 0.500 0.500
As 0.500 0.000 0.500
W 0.500 0.500 0.000

***

## Zr4Zn2C (GGA-PBE)

Data for a geometry-optimized Zr4Zn2C structure.

Summary:
Space group: Fd-3m
Total magnetization in μB/cell: 0.0
DFT formation energy in meV/atom: -396
Volume in Å³/atom: 17.9
Energy above the lowest structure with this stoichiometry in meV per atom: 0

Lattice parameters (Å, degrees): 8.916 8.916 8.916 60.00 60.00 60.00
Positions (direct):
Zr 0.000 0.000 0.000
Zr 0.000 0.000 0.500
Zr 0.000 0.500 0.000
Zr 0.192 0.192 0.558
Zr 0.192 0.558 0.192
Zr 0.192 0.558 0.558
Zr 0.442 0.442 0.808
Zr 0.442 0.808 0.442
Zr 0.442 0.808 0.808
Zr 0.500 0.000 0.000
Zr 0.558 0.192 0.192
Zr 0.558 0.192 0.558
Zr 0.558 0.558 0.192
Zr 0.808 0.442 0.442
Zr 0.808 0.442 0.808
Zr 0.808 0.808 0.442
Zn 0.136 0.788 0.788
Zn 0.212 0.212 0.212
Zn 0.212 0.212 0.864
Zn 0.212 0.864 0.212
Zn 0.788 0.136 0.788
Zn 0.788 0.788 0.136
Zn 0.788 0.788 0.788
Zn 0.864 0.212 0.212
C 0.000 0.500 0.500
C 0.500 0.000 0.500
C 0.500 0.500 0.000
C 0.500 0.500 0.500

***

## MgRuAuI2 (GGA-PBE)

Data for a geometry-optimized MgRuAuI2 structure.

Summary:
Space group: P4/mmm
Total magnetization in μB/cell: 0.6
Volume in Å³/atom: 29.4
Raw formation energy in eV per atom: 0.483

Lattice parameters (Å, degrees): 5.324 5.324 5.183 90.00 90.00 90.00
Positions (direct):
Mg 0.000 0.000 0.000
Ru 0.500 0.500 0.500
Au 0.500 0.500 0.000
I 0.000 0.500 0.500
I 0.500 0.000 0.500

***

## Ag2P (GGA-PBE)

Data for a geometry-optimized Ag2P structure.

Summary:
Space group: Cm
Total magnetization in μB/cell: 0.0
DFT formation energy in meV/atom: 248
Volume in Å³/atom: 17.6
Energy above the lowest structure with this stoichiometry in meV per atom: 78

Lattice parameters (Å, degrees): 11.055 2.919 6.582 90.00 95.56 90.00
Positions (direct):
Ag 0.000 0.000 0.000
Ag 0.071 0.000 0.577
Ag 0.229 0.500 0.911
Ag 0.351 0.000 0.298
Ag 0.500 0.500 0.000
Ag 0.571 0.500 0.577
Ag 0.729 0.000 0.911
Ag 0.851 0.500 0.298
P 0.140 0.500 0.269
P 0.375 0.000 0.701
P 0.640 0.000 0.269
P 0.875 0.500 0.701

***

## TbTlIr (GGA-PBE)

Data for a geometry-optimized TbTlIr structure.

Summary:
Space group: F-43m
Total magnetization in μB/cell: 0.0
DFT formation energy in meV/atom: -369
Volume in Å³/atom: 25.0

Lattice parameters (Å, degrees): 6.691 6.691 6.691 90.00 90.00 90.00
Positions (direct):
Tb 0.000 0.000 0.000
Tb 0.000 0.500 0.500
Tb 0.500 0.000 0.500
Tb 0.500 0.500 0.000
Tl 0.000 0.000 0.500
Tl 0.000 0.500 0.000
Tl 0.500 0.000 0.000
Tl 0.500 0.500 0.500
Ir 0.250 0.250 0.250
Ir 0.250 0.750 0.750
Ir 0.750 0.250 0.750
Ir 0.750 0.750 0.250

***

## Li2MoW (GGA-PBE)

Data for a geometry-optimized Li2MoW structure.

Summary:
Space group: I-4m2
Total magnetization in μB/cell: 0.0
DFT formation energy in meV/atom: 607
Volume in Å³/atom: 14.8
Energy above the lowest structure with this stoichiometry in meV per atom: 371

Lattice parameters (Å, degrees): 4.370 4.370 6.216 90.00 90.00 90.00
Positions (direct):
Li 0.000 0.000 0.000
Li 0.000 0.500 0.250
Li 0.500 0.000 0.750
Li 0.500 0.500 0.500
Mo 0.000 0.500 0.750
Mo 0.500 0.000 0.250
W 0.000 0.000 0.500
W 0.500 0.500 0.000

***

## HfZr2HRh (GGA-PBE)

Data for a geometry-optimized HfZr2HRh structure.

Summary:
Space group: P4/mmm
Total magnetization in μB/cell: 0.0
Volume in Å³/atom: 16.4
Energy above the lowest structure with this stoichiometry in meV per atom: 12

Lattice parameters (Å, degrees): 4.706 4.706 3.709 90.00 90.00 90.00
Positions (direct):
Hf 0.000 0.000 0.000
Zr 0.000 0.500 0.500
Zr 0.500 0.000 0.500
H 0.500 0.500 0.500
Rh 0.500 0.500 0.000

***

## MoAsBr2N (GGA-PBE)

Data for a geometry-optimized MoAsBr2N structure.

Summary:
Space group: P4/mmm
Total magnetization in μB/cell: 3.3
Volume in Å³/atom: 18.9
Energy above the lowest structure with this stoichiometry in meV per atom: 244
Raw formation energy in eV per atom: 1.407

Lattice parameters (Å, degrees): 4.450 4.450 4.772 90.00 90.00 90.00
Positions (direct):
Mo 0.000 0.000 0.000
As 0.500 0.500 0.000
Br 0.000 0.500 0.500
Br 0.500 0.000 0.500
N 0.500 0.500 0.500